# 1
{"formula": "Nd5Y2Er6", "functional": "PBE-GGA", "state": "optimized geometry", "delta_e_f_ev_per_fu": 1.224, "cell": [[3.591, 0.000, 0.000], [0.000, 11.693, 0.000], [0.000, 0.000, 20.488]], "species": ["Er", "Nd", "Er", "Er", "Er", "Er", "Er", "Nd", "Er", "Nd", "Nd", "Nd", "Er", "Nd", "Er", "Nd", "Y", "Nd", "Y", "Nd", "Y", "Y", "Er", "Er", "Nd", "Er"], "fractional_positions": [[0.000, 0.060, 0.080], [0.500, 0.411, 0.725], [0.000, 0.440, 0.580], [0.500, 0.676, 0.865], [0.000, 0.579, 0.133], [0.000, 0.921, 0.633], [0.500, 0.824, 0.365], [0.500, 0.800, 0.051], [0.000, 0.421, 0.867], [0.500, 0.500, 0.000], [0.500, 0.300, 0.449], [0.500, 0.700, 0.551], [0.000, 0.079, 0.367], [0.500, 0.000, 0.500], [0.500, 0.324, 0.135], [0.500, 0.589, 0.275], [0.000, 0.169, 0.788], [0.500, 0.911, 0.775], [0.000, 0.331, 0.288], [0.500, 0.200, 0.949], [0.000, 0.669, 0.712], [0.000, 0.831, 0.212], [0.000, 0.560, 0.420], [0.500, 0.176, 0.635], [0.500, 0.089, 0.225], [0.000, 0.940, 0.920]]}

=====

# 2
{"formula": "KCaSn2", "functional": "PBE-GGA", "state": "optimized geometry", "e_above_lowest_polymorph_ev_per_atom": 0.106, "delta_e_f_ev_per_fu": -0.974, "cell": [[0.000, 3.969, 3.969], [3.969, 0.000, 3.969], [3.969, 3.969, 0.000]], "species": ["Sn", "Ca", "Sn", "K"], "fractional_positions": [[0.250, 0.250, 0.250], [0.500, 0.500, 0.500], [0.750, 0.750, 0.750], [0.000, 0.000, 0.000]]}

=====

# 3
{"formula": "Fe2AuCl", "functional": "PBE-GGA", "state": "optimized geometry", "formation_energy_uncorrected_ev_per_atom": 0.291, "e_above_lowest_polymorph_ev_per_atom": 0.195, "cell": [[0.205, -0.254, 2.921], [2.925, -0.188, -0.211], [0.489, 6.987, 0.573]], "species": ["Fe", "Au", "Cl", "Fe"], "fractional_positions": [[0.000, 0.000, 0.989], [0.500, 0.500, 0.250], [0.500, 0.500, 0.750], [0.000, 0.000, 0.511]]}

=====

Number 1: N(E_F) 1.30 states/eV/atom. Number 2: N(E_F) 0.67 states/eV/atom. Number 3: N(E_F) 0.50 states/eV/atom.